NdEr6Tm5 | Alexandria | PBE | optimized geometry; final energy = -54.213 eV/cell; ΔH_f (0 K) = 0.024 eV/atom
1.0
-2.694 -0.525 5.427
3.361 -0.827 4.995
-0.231 11.186 3.242
Tm Nd Er
5 1 6
Direct
0.167 0.666 0.500
0.333 0.333 0.000
0.500 0.000 0.500
0.667 0.667 0.000
0.833 0.334 0.500
0.000 0.000 0.000
0.582 0.334 0.252
0.084 0.334 0.748
0.749 0.000 0.748
0.251 0.000 0.252
0.916 0.666 0.252
0.418 0.666 0.748